Material: ErCo6B
Method: DFT, PBE
State: optimized geometry

Results
Crystal system: tetragonal
Density: 8.87 g/cm3
Total energy: -0.248 Ha/atom

Cell: 3.6123 3.6123 7.6241 Å, 90.00 90.00 90.00°
Closest atoms and distances in Å follow each position.
Fractional positions:
Er (0.0000, 0.0000, 0.0000)  8 Co 2.80
Co (0.5000, 0.0000, 0.6536)  2 B 2.15, 3 Co 2.34
Co (0.0000, 0.5000, 0.6536)  2 B 2.15, 3 Co 2.34
Co (0.5000, 0.5000, 0.1519)  5 Co 2.32-2.34
Co (0.5000, 0.5000, 0.8481)  5 Co 2.32-2.34
Co (0.0000, 0.5000, 0.3464)  2 B 2.15, 3 Co 2.34
Co (0.5000, 0.0000, 0.3464)  2 B 2.15, 3 Co 2.34
B (0.0000, 0.0000, 0.5000)  8 Co 2.15


Material: B7C3
Method: DFT, PBE
State: optimized geometry

Results
Crystal system: trigonal
Density: 2.24 g/cm3
Total energy: -0.252 Ha/atom
Energy above the most stable polymorph in this dataset: 296 meV/atom

Cell: 13.1429 13.1429 13.1429 Å, 11.82 11.82 11.82°
Closest atoms and distances in Å follow each position.
Fractional positions:
B (0.7857, 0.7857, 0.7857)  4 B 1.63-1.72
B (0.1305, 0.1305, 0.1305)  3 B 1.63
B (0.6000, 0.6000, 0.6000)  1 C 1.58
B (0.9600, 0.9600, 0.9600)  4 B 1.69-1.88
B (0.7418, 0.7418, 0.7418)  3 C 1.70, 1 B 1.72
B (0.2233, 0.2233, 0.2233)  3 C 1.57
B (0.0033, 0.0033, 0.0033)  1 B 1.69, 3 C 1.72
C (0.3911, 0.3911, 0.3911)  1 C 1.42
C (0.5597, 0.5597, 0.5597)  4 B 1.57-1.58
C (0.3547, 0.3547, 0.3547)  1 C 1.42


Material: Li2AcCu6
Method: DFT, PBE
State: optimized geometry

Results
Crystal system: hexagonal
Density: 5.93 g/cm3
Total energy: -0.129 Ha/atom

Cell: 4.8728 4.8728 8.4704 Å, 90.00 90.00 120.00°
Closest atoms and distances in Å follow each position.
Fractional positions:
Li (0.3333, 0.6667, 0.5000)  6 Cu 2.63, 3 Li 2.81
Li (0.6667, 0.3333, 0.5000)  6 Cu 2.63, 3 Li 2.81
Ac (0.0000, 0.0000, 0.0000)  12 Cu 3.16
Cu (0.5000, 0.0000, 0.2372)  4 Cu 2.44, 2 Li 2.63
Cu (0.5000, 0.5000, 0.2372)  4 Cu 2.44, 2 Li 2.63
Cu (0.0000, 0.5000, 0.2372)  4 Cu 2.44, 2 Li 2.63
Cu (0.5000, 0.5000, 0.7628)  4 Cu 2.44, 2 Li 2.63
Cu (0.0000, 0.5000, 0.7628)  4 Cu 2.44, 2 Li 2.63
Cu (0.5000, 0.0000, 0.7628)  4 Cu 2.44, 2 Li 2.63


Material: PmEuAsCl
Method: DFT, PBE
State: optimized geometry

Results
Crystal system: cubic
Formation energy without anion corrections: -1374 meV/atom
Density: 6.93 g/cm3
Total energy: -0.248 Ha/atom

Cell: 5.1675 5.1675 5.1675 Å, 60.00 60.00 60.00°
Closest atoms and distances in Å follow each position.
Fractional positions:
Eu (0.5000, 0.5000, 0.5000)  4 As 3.16, 4 Cl 3.16
As (0.7500, 0.7500, 0.7500)  4 Pm 3.16, 4 Eu 3.16
Cl (0.2500, 0.2500, 0.2500)  4 Pm 3.16, 4 Eu 3.16
Pm (0.0000, 0.0000, 0.0000)  4 As 3.16, 4 Cl 3.16


Material: CsMn2GeI8
Method: DFT, PBE
State: optimized geometry

Results
Crystal system: monoclinic
Formation energy without anion corrections: -526 meV/atom
Density: 3.98 g/cm3
Total energy: -0.130 Ha/atom

Cell: 7.3306 7.3306 11.1679 Å, 84.14 84.14 68.89°
Closest atoms and distances in Å follow each position.
Fractional positions:
Cs (0.0000, 0.0000, 0.5000)  6 I 4.00-4.08
Mn (0.6186, 0.6186, 0.2014)  4 I 2.61-2.70
Mn (0.3814, 0.3814, 0.7986)  4 I 2.61-2.70
Ge (0.0000, 0.0000, 0.0000)  6 I 2.94-2.99
I (0.7736, 0.2688, 0.8040)  1 Mn 2.70, 1 Ge 2.99
I (0.7570, 0.7570, 0.9989)  1 Mn 2.64, 1 Ge 2.94
I (0.6809, 0.6809, 0.4167)  1 Mn 2.61
I (0.3191, 0.3191, 0.5833)  1 Mn 2.61
I (0.2430, 0.2430, 0.0011)  1 Mn 2.64, 1 Ge 2.94
I (0.2688, 0.7736, 0.8040)  1 Mn 2.70, 1 Ge 2.99
I (0.7312, 0.2264, 0.1960)  1 Mn 2.70, 1 Ge 2.99
I (0.2264, 0.7312, 0.1960)  1 Mn 2.70, 1 Ge 2.99


Material: GaSnNF2
Method: DFT, PBE
State: optimized geometry

Results
Crystal system: tetragonal
Formation energy without anion corrections: -831 meV/atom
Density: 5.17 g/cm3
Total energy: -0.171 Ha/atom
Energy above the most stable polymorph in this dataset: 174 meV/atom

Cell: 4.4474 4.4474 3.9033 Å, 90.00 90.00 90.00°
Closest atoms and distances in Å follow each position.
Fractional positions:
N (0.0000, 0.0000, 0.5000)  2 Sn 1.95
Sn (0.0000, 0.0000, 0.0000)  2 N 1.95
Ga (0.5000, 0.5000, 0.5000)  8 F 2.96, 4 N 3.14
F (0.0000, 0.5000, 0.0000)  2 Sn 2.22
F (0.5000, 0.0000, 0.0000)  2 Sn 2.22


Material: Ho2PuTa
Method: DFT, PBE
State: optimized geometry

Results
Crystal system: trigonal
Density: 12.21 g/cm3
Total energy: -0.302 Ha/atom

Cell: 3.2014 3.2014 11.7140 Å, 82.15 82.15 60.00°
Closest atoms and distances in Å follow each position.
Fractional positions:
Ta (0.0000, 0.0000, 0.0000)  2 Ho 2.96, 6 Ta 3.20
Ho (0.0853, 0.0853, 0.7442)  1 Ta 2.96, 6 Ho 3.20
Ho (0.9147, 0.9147, 0.2558)  1 Ta 2.96, 6 Ho 3.20
Pu (0.5000, 0.5000, 0.5000)  6 Pu 3.20, 6 Ho 3.38


Material: ZrMo2Se
Method: DFT, PBE
State: optimized geometry

Results
Crystal system: orthorhombic
Formation energy without anion corrections: 33 meV/atom
Density: 8.31 g/cm3
Total energy: -0.308 Ha/atom

Cell: 3.0416 3.0416 8.4423 Å, 90.00 90.00 112.09°
Closest atoms and distances in Å follow each position.
Fractional positions:
Mo (0.0000, 0.0000, 0.0153)  2 Mo 2.56, 2 Zr 2.83
Mo (0.5000, 0.5000, 0.2426)  2 Mo 2.56, 2 Se 2.73
Se (0.0000, 0.0000, 0.4955)  2 Zr 2.72, 2 Mo 2.73, 4 Se 3.04
Zr (0.5000, 0.5000, 0.7466)  2 Se 2.72, 2 Mo 2.83, 4 Zr 3.04


Material: K2BaNi
Method: DFT, PBE
State: optimized geometry

Results
Crystal system: orthorhombic
Density: 2.37 g/cm3
Total energy: -0.081 Ha/atom
Energy above the most stable polymorph in this dataset: 26 meV/atom

Cell: 10.7367 10.7367 4.6564 Å, 77.51 77.51 21.51°
Closest atoms and distances in Å follow each position.
Fractional positions:
Ba (0.2500, 0.2500, 0.2500)  4 Ni 3.07
K (0.0895, 0.0895, 0.9102)  2 Ni 3.86, 2 K 4.01, 2 Ba 4.04
K (0.4105, 0.4105, 0.5898)  2 Ni 3.86, 2 K 4.01, 2 Ba 4.04
Ni (0.7500, 0.7500, 0.7500)  4 Ba 3.07


Material: Cu2TcOs2
Method: DFT, PBE
State: optimized geometry

Results
Crystal system: tetragonal
Density: 13.98 g/cm3
Total energy: -0.275 Ha/atom
Energy above the most stable polymorph in this dataset: 0 meV/atom

Cell: 3.2046 3.2046 7.3630 Å, 77.43 77.43 90.00°
Closest atoms and distances in Å follow each position.
Fractional positions:
Os (0.4008, 0.4008, 0.1983)  4 Cu 2.65, 4 Tc 2.66, 1 Os 2.78
Os (0.5992, 0.5992, 0.8017)  4 Cu 2.65, 4 Tc 2.66, 1 Os 2.78
Tc (0.0000, 0.0000, 0.0000)  8 Os 2.66
Cu (0.7500, 0.2500, 0.5000)  4 Cu 2.27
Cu (0.2500, 0.7500, 0.5000)  4 Cu 2.27


Material: DySnRh
Method: DFT, PBE
State: optimized geometry

Results
Crystal system: tetragonal
Density: 10.09 g/cm3
Total energy: -0.220 Ha/atom

Cell: 3.3463 3.3463 6.1209 Å, 105.86 105.86 90.00°
Closest atoms and distances in Å follow each position.
Fractional positions:
Rh (0.9416, 0.9416, 0.8832)  4 Sn 2.81, 4 Dy 2.98
Sn (0.3069, 0.3069, 0.6137)  4 Rh 2.81
Dy (0.6016, 0.6016, 0.2031)  4 Rh 2.98, 5 Sn 3.31-3.33


Material: Sr2LaP
Method: DFT, PBE
State: optimized geometry

Results
Crystal system: orthorhombic
Density: 3.73 g/cm3
Total energy: -0.147 Ha/atom
Energy above the most stable polymorph in this dataset: 0 meV/atom

Cell: 9.2332 9.2332 9.2332 Å, 155.54 151.81 37.66°
Closest atoms and distances in Å follow each position.
Fractional positions:
Sr (0.6639, 0.6639, 0.0000)  2 P 3.47, 2 La 3.64
Sr (0.3361, 0.3361, 0.0000)  2 P 3.47, 2 La 3.64
La (0.0000, 0.5000, 0.5000)  4 P 2.98
P (0.5000, 0.0000, 0.5000)  4 La 2.98